# HgMoIr2 (PBE, optimized geometry)
data_HgMoIr2
_chemical_formula_sum 'Hg3 Mo3 Ir6'
_space_group_name_H-M_alt 'R -3 m'
_space_group_IT_number 166
_space_group_name_Hall '-R 3 2"'
_cell_length_a 2.8477
_cell_length_b 2.8477
_cell_length_c 28.0346
_cell_angle_alpha 90.00
_cell_angle_beta 90.00
_cell_angle_gamma 120.00
loop_
_atom_site_label
_atom_site_type_symbol
_atom_site_fract_x
_atom_site_fract_y
_atom_site_fract_z
_atom_site_occupancy
Hg1 Hg 0.0000 0.0000 0.0000 1
Mo1 Mo 0.0000 0.0000 0.5000 1
Ir1 Ir 0.0000 0.0000 0.2422 1
# * ΔH_f (0 K): 1.94 kcal/mol of atoms